No. 1
# Ba2HgTeIr, relaxed, DFT PBE
data_Ba2HgTeIr
_chemical_formula_sum 'Ba2 Hg1 Te1 Ir1'
_space_group_name_H-M_alt 'P 4/m m m'
_space_group_IT_number 123
_space_group_name_Hall '-P 4 2'
_cell_length_a 6.021
_cell_length_b 6.021
_cell_length_c 5.174
_cell_angle_alpha 90.00
_cell_angle_beta 90.00
_cell_angle_gamma 90.00
loop_
_atom_site_label
_atom_site_type_symbol
_atom_site_fract_x
_atom_site_fract_y
_atom_site_fract_z
_atom_site_occupancy
Ba1 Ba 0.000 0.500 0.000 1
Hg1 Hg 0.000 0.000 0.500 1
Te1 Te 0.500 0.500 0.500 1
Ir1 Ir 0.000 0.000 0.000 1
# crystal system: tetragonal
# raw formation energy: -3.08 eV per formula unit
# total magnetization: 0.000 μB/atom

No. 2
# Mn3InS7, relaxed, DFT PBE
data_Mn3InS7
_chemical_formula_sum 'Mn6 In2 S14'
_space_group_name_H-M_alt 'C 1 m 1'
_space_group_IT_number 8
_space_group_name_Hall 'C -2y'
_cell_length_a 11.803
_cell_length_b 7.180
_cell_length_c 6.010
_cell_angle_alpha 90.00
_cell_angle_beta 90.71
_cell_angle_gamma 90.00
loop_
_atom_site_label
_atom_site_type_symbol
_atom_site_fract_x
_atom_site_fract_y
_atom_site_fract_z
_atom_site_occupancy
Mn1 Mn 0.000 0.000 0.000 1
Mn2 Mn 0.013 0.219 0.508 1
In1 In 0.018 0.500 0.965 1
S1 S 0.108 0.500 0.587 1
S2 S 0.112 0.227 0.176 1
S3 S 0.124 0.000 0.690 1
S4 S 0.392 0.269 0.810 1
S5 S 0.396 0.500 0.330 1
# crystal system: monoclinic
# raw formation energy: -4.83 eV per formula unit
# total magnetization: 0.896 μB/atom

No. 3
# SmPuIr2, relaxed, DFT PBE
data_SmPuIr2
_chemical_formula_sum 'Sm4 Pu4 Ir8'
_space_group_name_H-M_alt 'F m -3 m'
_space_group_IT_number 225
_space_group_name_Hall '-F 4 2 3'
_cell_length_a 6.932
_cell_length_b 6.932
_cell_length_c 6.932
_cell_angle_alpha 90.00
_cell_angle_beta 90.00
_cell_angle_gamma 90.00
loop_
_atom_site_label
_atom_site_type_symbol
_atom_site_fract_x
_atom_site_fract_y
_atom_site_fract_z
_atom_site_occupancy
Sm1 Sm 0.000 0.000 0.000 1
Pu1 Pu 0.000 0.000 0.500 1
Ir1 Ir 0.250 0.250 0.250 1
# crystal system: cubic
# total magnetization: 1.125 μB/atom
# E_form: -0.501 eV per atom

No. 4
# MnWBr2, relaxed, DFT PBE
data_MnWBr2
_chemical_formula_sum 'Mn3 W3 Br6'
_space_group_name_H-M_alt 'R -3 m'
_space_group_IT_number 166
_space_group_name_Hall '-R 3 2"'
_cell_length_a 3.1921
_cell_length_b 3.1921
_cell_length_c 26.3991
_cell_angle_alpha 90.00
_cell_angle_beta 90.00
_cell_angle_gamma 120.00
loop_
_atom_site_label
_atom_site_type_symbol
_atom_site_fract_x
_atom_site_fract_y
_atom_site_fract_z
_atom_site_occupancy
Mn1 Mn 0.0000 0.0000 0.0000 1
W1 W 0.0000 0.0000 0.5000 1
Br1 Br 0.0000 0.0000 0.4049 1
# crystal system: trigonal
# raw formation energy: 2.73 eV per formula unit
# total magnetization: 1.062 μB/atom
# energy above the lowest structure with this stoichiometry: 526.7 meV per atom

No. 5
# Rb3NaZn, relaxed, DFT PBE
data_Rb3NaZn
_chemical_formula_sum 'Rb3 Na1 Zn1'
_space_group_name_H-M_alt 'P m -3 m'
_space_group_IT_number 221
_space_group_name_Hall '-P 4 2 3'
_cell_length_a 6.980
_cell_length_b 6.980
_cell_length_c 6.980
_cell_angle_alpha 90.00
_cell_angle_beta 90.00
_cell_angle_gamma 90.00
loop_
_atom_site_label
_atom_site_type_symbol
_atom_site_fract_x
_atom_site_fract_y
_atom_site_fract_z
_atom_site_occupancy
Rb1 Rb 0.000 0.000 0.500 1
Na1 Na 0.500 0.500 0.500 1
Zn1 Zn 0.000 0.000 0.000 1
# crystal system: cubic
# total magnetization: 0.000 μB/atom
# energy above the lowest structure with this stoichiometry: 0.0 meV per atom
# E_form: 0.164 eV per atom

No. 6
# Na3PtI, relaxed, DFT PBE
data_Na3PtI
_chemical_formula_sum 'Na3 Pt1 I1'
_space_group_name_H-M_alt 'P m -3 m'
_space_group_IT_number 221
_space_group_name_Hall '-P 4 2 3'
_cell_length_a 5.497
_cell_length_b 5.497
_cell_length_c 5.497
_cell_angle_alpha 90.00
_cell_angle_beta 90.00
_cell_angle_gamma 90.00
loop_
_atom_site_label
_atom_site_type_symbol
_atom_site_fract_x
_atom_site_fract_y
_atom_site_fract_z
_atom_site_occupancy
Na1 Na 0.000 0.000 0.500 1
Pt1 Pt 0.000 0.000 0.000 1
I1 I 0.500 0.500 0.500 1
# crystal system: cubic
# raw formation energy: -1.88 eV per formula unit
# total magnetization: 0.000 μB/atom
# energy above the lowest structure with this stoichiometry: 0.0 meV per atom